## Ta2Nb4Cu3C3 (GGA-PBE)

Data for crystalline Ta2Nb4Cu3C3 at its relaxed geometry.

abc: 5.4363 5.4363 13.6678
angles: 101.19 101.19 60.05
Closest atoms and distances in Å follow each position.
Fractional coordinates of all 24 atoms:
Ta1 0.0283 0.8600 0.5885  3 C 2.15-2.16
Ta2 0.1400 0.9717 0.9115  3 C 2.15-2.16
Ta3 0.8600 0.0283 0.0885  3 C 2.15-2.16
Ta4 0.9717 0.1400 0.4115  3 C 2.15-2.16
Nb1 0.1968 0.3654 0.0931  3 C 2.20
Nb2 0.3055 0.4667 0.4068  3 C 2.19-2.20
Nb3 0.3654 0.1968 0.5931  3 C 2.20
Nb4 0.4667 0.3055 0.9068  3 C 2.19-2.20
Nb5 0.5333 0.6945 0.0932  3 C 2.19-2.20
Nb6 0.6346 0.8032 0.4069  3 C 2.20
Nb7 0.6945 0.5333 0.5932  3 C 2.19-2.20
Nb8 0.8032 0.6346 0.9069  3 C 2.20
Cu1 0.0793 0.2236 0.7497  2 Ta 2.70-2.73, 4 Nb 2.81-2.84, 2 Cu 2.85-2.88
Cu2 0.2236 0.0793 0.2497  2 Ta 2.70-2.73, 4 Nb 2.81-2.84, 2 Cu 2.85-2.88
Cu3 0.3882 0.6118 0.7500  2 Ta 2.71, 4 Nb 2.81-2.83, 2 Cu 2.88
Cu4 0.6118 0.3882 0.2500  2 Ta 2.71, 4 Nb 2.81-2.83, 2 Cu 2.88
Cu5 0.7764 0.9207 0.7503  2 Ta 2.70-2.73, 4 Nb 2.81-2.84, 2 Cu 2.85-2.88
Cu6 0.9207 0.7764 0.2503  2 Ta 2.70-2.73, 4 Nb 2.81-2.84, 2 Cu 2.85-2.88
C1 0.0000 0.5000 0.5000  2 Ta 2.15, 4 Nb 2.20
C2 0.1660 0.6690 0.0000  2 Ta 2.16, 4 Nb 2.19-2.20
C3 0.3310 0.8340 0.5000  2 Ta 2.16, 4 Nb 2.19-2.20
C4 0.5000 0.0000 0.0000  2 Ta 2.15, 4 Nb 2.20
C5 0.6690 0.1660 0.5000  2 Ta 2.16, 4 Nb 2.19-2.20
C6 0.8340 0.3310 0.0000  2 Ta 2.16, 4 Nb 2.19-2.20

The value obtained for the total energy is -8.78 eV/atom. Its space group is C2/c (15). For the total magnetic moment, the calculation gives 0.003 Bohr magnetons per cell.

***

## Pu4GeP2 (GGA-PBE)

Data for crystalline Pu4GeP2 at its relaxed geometry.

abc: 7.4234 7.4234 7.4234
angles: 109.59 109.59 109.24
Closest atoms and distances in Å follow each position.
Fractional coordinates of all 14 atoms:
Pu1 0.1304 0.7286 0.7467  4 P 2.86-3.06, 2 Ge 2.92-3.08
Pu2 0.1337 0.2319 0.7533  4 P 2.86-3.06, 2 Ge 2.92-3.08
Pu3 0.2714 0.0181 0.4018  4 P 2.86-3.06, 2 Ge 2.92-3.08
Pu4 0.4786 0.3804 0.2467  4 P 2.86-3.06, 2 Ge 2.92-3.08
Pu5 0.6163 0.8696 0.5982  4 P 2.86-3.06, 2 Ge 2.92-3.08
Pu6 0.6196 0.8663 0.0982  4 P 2.86-3.06, 2 Ge 2.92-3.08
Pu7 0.7681 0.5214 0.9018  4 P 2.86-3.06, 2 Ge 2.92-3.08
Pu8 0.9819 0.3837 0.2533  4 P 2.86-3.06, 2 Ge 2.92-3.08
Ge1 0.0000 0.0000 0.0000  8 Pu 2.92-3.08
Ge2 0.7500 0.2500 0.5000  8 Pu 2.92-3.08
P1 0.2469 0.6250 0.1219  8 Pu 2.86-3.06
P2 0.3750 0.4969 0.6219  8 Pu 2.86-3.06
P3 0.5031 0.1250 0.8781  8 Pu 2.86-3.06
P4 0.8750 0.7531 0.3781  8 Pu 2.86-3.06

The value obtained for the total energy is -11.23 eV/atom. Its space group is I-42d (122). For the total magnetic moment, the calculation gives 43.978 Bohr magnetons per cell.

***

## Zr4AsC3 (GGA-PBE)

Data for crystalline Zr4AsC3 at its relaxed geometry.

abc: 3.4101 3.4101 23.5503
angles: 90.00 90.00 120.00
Closest atoms and distances in Å follow each position.
Fractional coordinates of all 16 atoms:
Zr1 0.0000 0.0000 0.1668  3 C 2.30
Zr2 0.0000 0.0000 0.3332  3 C 2.30
Zr3 0.0000 0.0000 0.6668  3 C 2.30
Zr4 0.0000 0.0000 0.8332  3 C 2.30
Zr5 0.3333 0.6667 0.0556  6 C 2.36-2.44
Zr6 0.3333 0.6667 0.4444  6 C 2.36-2.44
Zr7 0.6667 0.3333 0.5556  6 C 2.36-2.44
Zr8 0.6667 0.3333 0.9444  6 C 2.36-2.44
As1 0.3333 0.6667 0.2500  6 Zr 2.78
As2 0.6667 0.3333 0.7500  6 Zr 2.78
C1 0.0000 0.0000 0.0000  6 Zr 2.36
C2 0.0000 0.0000 0.5000  6 Zr 2.36
C3 0.3333 0.6667 0.6166  6 Zr 2.30-2.44
C4 0.3333 0.6667 0.8834  6 Zr 2.30-2.44
C5 0.6667 0.3333 0.1166  6 Zr 2.30-2.44
C6 0.6667 0.3333 0.3834  6 Zr 2.30-2.44

The value obtained for the total energy is -9.21 eV/atom. Its space group is P6_3/mmc (194). For the total magnetic moment, the calculation gives 0.002 Bohr magnetons per cell.

***

## AcTmCu (GGA-PBE)

Data for crystalline AcTmCu at its relaxed geometry.

abc: 5.0039 5.0039 5.0039
angles: 60.00 60.00 60.00
Closest atoms and distances in Å follow each position.
Fractional coordinates of all 3 atoms:
Ac1 0.0000 0.0000 0.0000  4 Tm 3.06
Tm1 0.2500 0.2500 0.2500  4 Cu 3.06, 4 Ac 3.06
Cu1 0.5000 0.5000 0.5000  4 Tm 3.06

Its space group is F-43m (216). For the total magnetic moment, the calculation gives 0.001 Bohr magnetons per cell. The energy relative to the lowest polymorph listed for this composition comes out at 0.0 kJ per mole of atoms. The value obtained for the formation energy is 663 meV per atom.

***

## Er7Fe2Se2 (GGA-PBE)

Data for crystalline Er7Fe2Se2 at its relaxed geometry.

abc: 8.9859 8.9859 8.9859
angles: 155.72 66.45 119.21
Closest atoms and distances in Å follow each position.
Fractional coordinates of all 11 atoms:
Er1 0.0000 0.0000 0.0000  3 Se 3.01-3.06
Er2 0.0623 0.3766 0.6858  3 Fe 2.72-2.99
Er3 0.0985 0.7412 0.3573  2 Fe 2.82, 2 Se 2.99
Er4 0.3839 0.7412 0.6427  2 Fe 2.82, 2 Se 2.99
Er5 0.4585 0.5853 0.8731  2 Fe 2.78, 3 Se 2.96-3.04
Er6 0.6908 0.3766 0.3142  3 Fe 2.72-2.99
Er7 0.7122 0.5853 0.1269  2 Fe 2.78, 3 Se 2.96-3.04
Fe1 0.3109 0.0727 0.2382  7 Er 2.72-2.99
Fe2 0.8346 0.0727 0.7618  7 Er 2.72-2.99
Se1 0.3368 0.3368 0.0000  7 Er 2.96-3.06
Se2 0.7418 0.2418 0.5000  8 Er 3.01-3.05

The value obtained for the total energy is -5.69 eV/atom. Its space group is Imm2 (44). For the total magnetic moment, the calculation gives 0.763 Bohr magnetons per cell.

***

## LuGaPbS3 (GGA-PBE)

Data for crystalline LuGaPbS3 at its relaxed geometry.

abc: 7.4418 7.4418 10.6340
angles: 90.00 90.00 150.24
Closest atoms and distances in Å follow each position.
Fractional coordinates of all 12 atoms:
Lu1 0.0000 0.0000 0.0000  6 S 2.66-2.67
Lu2 0.0000 0.0000 0.5000  6 S 2.66-2.67
Ga1 0.3678 0.6322 0.7500  4 S 2.51-2.66
Ga2 0.6322 0.3678 0.2500  4 S 2.51-2.66
Pb1 0.3045 0.6955 0.2500  2 S 2.82, 2 Ga 3.13
Pb2 0.6955 0.3045 0.7500  2 S 2.82, 2 Ga 3.13
S1 0.0194 0.9806 0.2500  2 Ga 2.51, 2 Lu 2.67
S2 0.3709 0.6291 0.0002  1 Ga 2.66, 2 Lu 2.66, 1 Pb 2.82
S3 0.3709 0.6291 0.4998  1 Ga 2.66, 2 Lu 2.66, 1 Pb 2.82
S4 0.6291 0.3709 0.9998  1 Ga 2.66, 2 Lu 2.66, 1 Pb 2.82
S5 0.6291 0.3709 0.5002  1 Ga 2.66, 2 Lu 2.66, 1 Pb 2.82
S6 0.9806 0.0194 0.7500  2 Ga 2.51, 2 Lu 2.67

The value obtained for the total energy is -4.94 eV/atom. Its space group is Cmcm (63). For the total magnetic moment, the calculation gives 0.027 Bohr magnetons per cell.

***

## RbCuAs (GGA-PBE)

Data for crystalline RbCuAs at its relaxed geometry.

abc: 4.8917 4.8917 4.8917
angles: 60.00 60.00 60.00
Closest atoms and distances in Å follow each position.
Fractional coordinates of all 3 atoms:
Rb1 0.0000 0.0000 0.0000  4 Cu 3.00
Cu1 0.7500 0.7500 0.7500  4 As 3.00, 4 Rb 3.00
As1 0.5000 0.5000 0.5000  4 Cu 3.00

Its space group is F-43m (216). The energy relative to the lowest polymorph listed for this composition comes out at 0.0 kJ per mole of atoms.

***

## GdHoC2I2 (GGA-PBE)

Data for crystalline GdHoC2I2 at its relaxed geometry.

abc: 4.1559 4.1559 11.2826
angles: 92.93 92.93 56.09
Closest atoms and distances in Å follow each position.
Fractional coordinates of all 6 atoms:
Gd1 0.0000 0.0000 0.0000  3 C 2.37-2.64
Ho1 0.2909 0.2909 0.2443  3 C 2.33-2.59
C1 0.5673 0.5673 0.1531  1 C 1.33
C2 0.7221 0.7221 0.0975  1 C 1.33
I1 0.3204 0.3204 0.8111  3 Gd 3.13-3.26
I2 0.9682 0.9682 0.4299  3 Ho 3.10-3.25

The value obtained for the total energy is -5.99 eV/atom. Its space group is Cm (8). For the total magnetic moment, the calculation gives 0.010 Bohr magnetons per cell.